[1]
This record from Alexandria describes a relaxed structure of CaSbAu. The functional is GGA-PBE.

Unit cell a=7.142 b=4.651 c=4.651 alpha=90.00 beta=90.02 gamma=90.03
Fractional coordinates of all 6 atoms:
Sb1 0.909 0.627 0.544
Au1 0.659 0.127 0.543
Sb2 0.408 0.126 0.043
Ca1 0.958 0.127 0.044
Au2 0.659 0.626 0.044
Ca2 0.360 0.626 0.544

The value obtained for the total magnetic moment is 0.00 μB per formula unit. As for the raw total energy: -3.84 eV/atom.


[2]
This record from Alexandria describes a relaxed structure of HgIrAu2. The functional is GGA-PBE.

Unit cell a=4.961 b=4.961 c=2.907 alpha=90.00 beta=90.00 gamma=90.00
Fractional coordinates of all 4 atoms:
Au1 0.000 0.000 0.000
Au2 0.500 0.500 0.000
Ir1 0.000 0.500 0.500
Hg1 0.500 0.000 0.500

The value obtained for the total magnetic moment is 0.00 μB per formula unit. The energy of formation comes out at 0.377 eV/atom.